Entry 1:
{
  "formula": "In2Cu2Br",
  "functional": "PBE",
  "state": "optimized geometry",
  "lattice": [[-6.006, -3.186, -4.491], [5.305, -5.127, -3.459], [-0.573, -2.128, 2.276]],
  "species": ["Cu", "Cu", "Cu", "Cu", "Br", "Br", "In", "In", "In", "In"],
  "frac_coords": [[0.105, 0.605, 0.500], [0.605, 0.895, 0.500], [0.895, 0.395, 0.500], [0.395, 0.105, 0.500], [0.000, 0.000, 0.000], [0.500, 0.500, 0.000], [0.310, 0.810, 0.000], [0.810, 0.690, 0.000], [0.690, 0.190, 0.000], [0.190, 0.310, 0.000]],
  "de_polymorph_mev_per_atom": 21.7,
  "crystal_system": "tetragonal",
  "space_group": "No. 127",
  "raw_formation_energy_mev_per_atom": 78
}

***

Entry 2:
{
  "formula": "In2CuBr",
  "functional": "PBE",
  "state": "optimized geometry",
  "lattice": [[-0.787, -3.221, -1.277], [0.499, -0.005, 3.518], [-8.420, 1.584, 1.197]],
  "species": ["Br", "Cu", "In", "In"],
  "frac_coords": [[0.000, 0.000, 0.563], [0.500, 0.500, 0.743], [0.000, 0.000, 0.952], [0.500, 0.500, 0.243]],
  "de_polymorph_mev_per_atom": 109.7,
  "crystal_system": "orthorhombic",
  "space_group": "No. 35",
  "raw_formation_energy_mev_per_atom": -11
}

***

Entry 3:
{
  "formula": "InCuBr2",
  "functional": "PBE",
  "state": "optimized geometry",
  "lattice": [[-2.199, 2.706, -2.137], [-1.536, -2.718, 2.642], [0.839, 5.692, 6.344]],
  "species": ["Br", "Br", "Cu", "In"],
  "frac_coords": [[0.000, 0.000, 0.052], [0.000, 0.000, 0.448], [0.500, 0.500, 0.250], [0.500, 0.500, 0.750]],
  "de_polymorph_mev_per_atom": 162.8,
  "crystal_system": "orthorhombic",
  "space_group": "No. 65",
  "raw_formation_energy_mev_per_atom": -264
}

***

Entry 4:
{
  "formula": "InCuBr2",
  "functional": "PBE",
  "state": "optimized geometry",
  "lattice": [[-2.290, -3.503, -3.176], [-4.447, -2.374, 1.479], [-4.528, 1.183, -2.386]],
  "species": ["Cu", "Br", "Br", "In"],
  "frac_coords": [[0.000, 0.000, 0.000], [0.250, 0.250, 0.250], [0.750, 0.750, 0.750], [0.500, 0.500, 0.500]],
  "de_polymorph_mev_per_atom": 389.7,
  "crystal_system": "cubic",
  "space_group": "No. 225",
  "raw_formation_energy_mev_per_atom": -37
}

***

Entry 5:
{
  "formula": "InCu3Br9",
  "functional": "PBE",
  "state": "optimized geometry",
  "lattice": [[7.486, 0.000, 3.150], [3.257, 9.666, 2.731], [-0.472, 0.075, 11.592]],
  "species": ["In", "In", "Cu", "Cu", "Cu", "Cu", "Cu", "Cu", "Br", "Br", "Br", "Br", "Br", "Br", "Br", "Br", "Br", "Br", "Br", "Br", "Br", "Br", "Br", "Br", "Br", "Br"],
  "frac_coords": [[0.021, 0.501, 0.991], [0.487, 0.001, 0.491], [0.802, 0.545, 0.667], [0.986, 0.045, 0.167], [0.981, 0.947, 0.832], [0.239, 0.447, 0.332], [0.551, 0.252, 0.732], [0.465, 0.752, 0.232], [0.341, 0.203, 0.322], [0.135, 0.703, 0.822], [0.376, 0.315, 0.938], [0.371, 0.815, 0.438], [0.177, 0.078, 0.681], [0.064, 0.578, 0.181], [0.661, 0.693, 0.032], [0.615, 0.193, 0.532], [0.840, 0.905, 0.339], [0.916, 0.405, 0.839], [0.632, 0.789, 0.667], [0.911, 0.289, 0.167], [0.496, 0.514, 0.312], [0.677, 0.014, 0.812], [0.574, 0.475, 0.639], [0.311, 0.975, 0.139], [0.838, 0.040, 0.025], [0.097, 0.540, 0.525]],
  "crystal_system": "monoclinic",
  "space_group": "No. 9",
  "raw_formation_energy_mev_per_atom": -364
}

***

Entry 6:
{
  "formula": "In2CuBr",
  "functional": "PBE",
  "state": "optimized geometry",
  "lattice": [[-0.333, 0.739, -3.698], [-3.388, -1.689, -0.032], [-3.358, 6.705, 1.642]],
  "species": ["Br", "Cu", "In", "In"],
  "frac_coords": [[0.000, 0.000, 0.472], [0.500, 0.500, 0.908], [0.000, 0.000, 0.868], [0.500, 0.500, 0.252]],
  "de_polymorph_mev_per_atom": 31.2,
  "crystal_system": "tetragonal",
  "space_group": "No. 99",
  "raw_formation_energy_mev_per_atom": -89
}

***

Entry 7:
{
  "formula": "In4CuBr",
  "functional": "PBE",
  "state": "optimized geometry",
  "lattice": [[-0.209, -6.115, -1.057], [-3.087, -3.721, 3.897], [-5.314, -2.659, -1.802]],
  "species": ["In", "In", "In", "In", "Cu", "Br"],
  "frac_coords": [[0.877, 0.374, 0.374], [0.374, 0.374, 0.877], [0.374, 0.877, 0.374], [0.374, 0.374, 0.374], [0.000, 0.000, 0.000], [0.750, 0.750, 0.750]],
  "crystal_system": "cubic",
  "space_group": "No. 216",
  "raw_formation_energy_mev_per_atom": 258
}

***

Entry 8:
{
  "formula": "InCuBr2",
  "functional": "PBE",
  "state": "optimized geometry",
  "lattice": [[7.938, 0.023, 0.014], [6.922, 3.886, 0.014], [6.922, 1.821, 3.433]],
  "species": ["Br", "Br", "Cu", "In"],
  "frac_coords": [[0.979, 0.979, 0.979], [0.521, 0.521, 0.521], [0.250, 0.250, 0.250], [0.750, 0.750, 0.750]],
  "de_polymorph_mev_per_atom": 103.3,
  "crystal_system": "trigonal",
  "space_group": "No. 166",
  "raw_formation_energy_mev_per_atom": -324
}